[1]
# Sm12Er6In

An optimized crystal structure of Sm12Er6In (GGA-PBE, the Alexandria database).

Structure (POSCAR):
```
Sm12Er6In
1.0
6.5064 3.7565 4.2737
-6.5064 3.7565 4.2737
0.0000 -7.5130 4.2737
Sm Er In
12 6 1
Direct
0.0011 0.7402 0.2598
0.1720 0.5776 0.5782
0.2598 0.0011 0.7402
0.2598 0.7402 0.9989
0.4224 0.4218 0.8280
0.4218 0.8280 0.4224
0.5782 0.1720 0.5776
0.5776 0.5782 0.1720
0.7402 0.2598 0.0011
0.7402 0.9989 0.2598
0.8280 0.4224 0.4218
0.9989 0.2598 0.7402
0.1348 0.1362 0.4052
0.1362 0.4052 0.1348
0.4052 0.1348 0.1362
0.5948 0.8652 0.8638
0.8638 0.5948 0.8652
0.8652 0.8638 0.5948
0.0000 0.0000 0.0000
```

Summary:
**DFT formation energy**: 89 meV/atom
**M_tot**: 0.00 μB per cell

---

[2]
# SmEr9In2

An optimized crystal structure of SmEr9In2 (GGA-PBE, the Alexandria database).

Structure (POSCAR):
```
SmEr9In2
1.0
4.8383 0.0000 0.0000
0.0000 4.8383 0.0000
0.0000 0.0000 14.8375
Sm Er In
1 9 2
Direct
0.0000 0.0000 0.0000
0.0000 0.5000 0.1737
0.0000 0.5000 0.5000
0.0000 0.5000 0.8263
0.5000 0.0000 0.1737
0.5000 0.0000 0.5000
0.5000 0.0000 0.8263
0.5000 0.5000 0.0000
0.5000 0.5000 0.3385
0.5000 0.5000 0.6615
0.0000 0.0000 0.3391
0.0000 0.0000 0.6609
```

Summary:
**DFT formation energy**: -160 meV/atom
**M_tot**: 0.00 μB per cell

---

[3]
# Sm6ErIn

An optimized crystal structure of Sm6ErIn (GGA-PBE, the Alexandria database).

Structure (POSCAR):
```
Sm6ErIn
1.0
4.9710 0.0000 0.0000
0.0000 4.9710 0.0000
0.0000 0.0000 10.1891
Sm Er In
6 1 1
Direct
0.0000 0.0000 0.0000
0.0000 0.0000 0.5000
0.0000 0.5000 0.2440
0.0000 0.5000 0.7560
0.5000 0.0000 0.2440
0.5000 0.0000 0.7560
0.5000 0.5000 0.5000
0.5000 0.5000 0.0000
```

Summary:
**DFT formation energy**: -119 meV/atom
**M_tot**: 0.00 μB per cell

---

[4]
# Sm6ErIn4

An optimized crystal structure of Sm6ErIn4 (GGA-PBE, the Alexandria database).

Structure (POSCAR):
```
Sm6ErIn4
1.0
-3.9170 3.9170 5.9829
3.9170 -3.9170 5.9829
3.9170 3.9170 -5.9829
Sm Er In
6 1 4
Direct
0.0000 0.5000 0.5000
0.0940 0.0940 0.6215
0.4725 0.4725 0.3785
0.5000 0.0000 0.5000
0.5275 0.9060 0.0000
0.9060 0.5275 0.0000
0.0000 0.0000 0.0000
0.2704 0.5960 0.0000
0.4040 0.4040 0.6744
0.5960 0.2704 0.0000
0.7296 0.7296 0.3256
```

Summary:
**DFT formation energy**: -113 meV/atom
**M_tot**: 0.00 μB per cell

---

Repeat the third record exactly.
# Sm6ErIn

An optimized crystal structure of Sm6ErIn (GGA-PBE, the Alexandria database).

Structure (POSCAR):
```
Sm6ErIn
1.0
4.9710 0.0000 0.0000
0.0000 4.9710 0.0000
0.0000 0.0000 10.1891
Sm Er In
6 1 1
Direct
0.0000 0.0000 0.0000
0.0000 0.0000 0.5000
0.0000 0.5000 0.2440
0.0000 0.5000 0.7560
0.5000 0.0000 0.2440
0.5000 0.0000 0.7560
0.5000 0.5000 0.5000
0.5000 0.5000 0.0000
```

Summary:
**DFT formation energy**: -119 meV/atom
**M_tot**: 0.00 μB per cell

---

Q: Among the records above, which one has the lowest DFT formation energy?
A: SmEr9In2